# InAu

A geometry-optimized InAu structure (GGA-PBE, Alexandria via LeMat-Bulk).

Cell lengths 3.552, 3.552, 3.472 Å; angles 90.00, 90.00, 98.12 degrees
Positions (direct):
Au: 0.000 0.000 0.000
In: 0.500 0.500 0.500

Calculated values
- Space-group type: Cmmm
- Density of states at the Fermi level: 0.2881 states/eV/atom
- DFT total energy: -3.115 eV per atom

# Dy5Y2Er4

A geometry-optimized Dy5Y2Er4 structure (GGA-PBE, Alexandria via LeMat-Bulk).

Cell lengths 6.587, 6.587, 9.146 Å; angles 76.19, 76.19, 67.24 degrees
Positions (direct):
Er: 0.318 0.318 0.496
Dy: 0.000 0.000 0.500
Y: 0.855 0.855 0.123
Er: 0.682 0.682 0.504
Dy: 0.790 0.350 0.223
Er: 0.334 0.334 0.120
Dy: 0.210 0.650 0.777
Dy: 0.350 0.790 0.223
Dy: 0.650 0.210 0.777
Er: 0.666 0.666 0.880
Y: 0.145 0.145 0.877

Calculated values
- Space-group type: C2/m
- Polymorph energy (0 for the lowest one): 0 meV/atom
- Density of states at the Fermi level: 1.7100 states/eV/atom